DFT (PBE with a Hubbard U) results for an optimized crystal structure of YAlFeO4.

- Electronic total energy: -0.5675 Ry/atom
- Symmetry: Imma

abc: 6.198 6.198 6.198
angles: 121.02 117.67 91.16
Fractional positions:
Y1 0.000 0.000 0.000
Y2 0.500 0.000 0.500
Al1 0.373 0.623 0.750
Al2 0.627 0.377 0.250
Fe1 0.000 0.000 0.500
Fe2 0.000 0.500 0.000
O1 0.248 0.738 0.510
O2 0.249 0.259 0.510
O3 0.249 0.739 0.990
O4 0.272 0.262 0.010
O5 0.728 0.738 0.990
O6 0.751 0.261 0.010
O7 0.751 0.741 0.490
O8 0.752 0.262 0.490